A relaxed structure of K3Zr2MnSe6. Source: Alexandria via LeMat-Bulk, functional GGA-PBE.

## Properties
The space group is C2/m. The uncorrected formation energy comes out at -1051 meV per atom. The electronic total energy comes out at -5.2565 eV per atom.

Cell: 6.6753 6.6753 8.0437 Å, 97.99 97.99 120.31°
Fractional coordinates of all 12 atoms:
K 0.0000 0.0000 0.0000
K 0.3264 0.6736 0.0000
K 0.6736 0.3264 0.0000
Zr 0.1646 0.8354 0.5000
Zr 0.8354 0.1646 0.5000
Mn 0.5000 0.5000 0.5000
Se 0.1209 0.4366 0.3072
Se 0.2516 0.2516 0.6965
Se 0.4366 0.1209 0.3072
Se 0.5634 0.8791 0.6928
Se 0.7484 0.7484 0.3035
Se 0.8791 0.5634 0.6928